Material: PuMnAg2O8
Method: DFT, GGA+U
State: optimized geometry

Output
The calculation puts the total magnetic moment at 1.005 μB/f.u. The symmetry is I-4m2 (119). The calculated total energy comes out at -0.2349 hartree per atom.

a = 6.325 Å, b = 6.325 Å, c = 6.325 Å
α = 117.74°, β = 117.74°, γ = 93.96°
Fractional coordinates of all 12 atoms:
Pu  0.000  0.000  0.000
Mn  0.250  0.750  0.500
Ag  0.500  0.500  0.000
Ag  0.750  0.250  0.500
O  0.318  0.040  0.278
O  0.337  0.067  0.731
O  0.337  0.606  0.269
O  0.394  0.663  0.731
O  0.763  0.040  0.722
O  0.933  0.663  0.269
O  0.960  0.237  0.278
O  0.960  0.682  0.722